[1]
Computed, not measured: K3RuRh3S8 after structural relaxation at the PBE level of DFT.

```
data_K3RuRh3S8
_cell_length_a 12.664
_cell_length_b 7.306
_cell_length_c 8.162
_cell_angle_alpha 90.00
_cell_angle_beta 121.18
_cell_angle_gamma 90.00
_symmetry_space_group_name_H-M 'C 1 2/m 1'
_symmetry_Int_Tables_number 12
_symmetry_space_group_name_Hall '-C 2y'
loop_
_atom_site_label
_atom_site_fract_x
_atom_site_fract_y
_atom_site_fract_z
K1 0.000 0.000 0.000
K2 0.250 0.250 0.000
Ru1 0.000 0.000 0.500
Rh1 0.000 0.500 0.500
Rh2 0.250 0.250 0.500
S1 0.028 0.251 0.332
S2 0.222 0.500 0.666
S3 0.223 0.000 0.668
```

Calculated total energy ... -5.16 eV/atom
E_form (uncorrected) ... -0.65 eV/atom
Spin magnetization ... 3.23 Bohr magnetons per cell
Fermi-level density of states ... 16.63 states/eV per cell

***

[2]
Computed, not measured: KSbRu2Rh after structural relaxation at the PBE level of DFT.

```
data_KSbRu2Rh
_cell_length_a 4.721
_cell_length_b 4.721
_cell_length_c 4.738
_cell_angle_alpha 90.00
_cell_angle_beta 90.00
_cell_angle_gamma 90.00
_symmetry_space_group_name_H-M 'P 4/m m m'
_symmetry_Int_Tables_number 123
_symmetry_space_group_name_Hall '-P 4 2'
loop_
_atom_site_label
_atom_site_fract_x
_atom_site_fract_y
_atom_site_fract_z
K1 0.000 0.000 0.000
Sb1 0.500 0.500 0.500
Ru1 0.000 0.500 0.000
Rh1 0.000 0.000 0.500
```

Calculated total energy ... -3.82 eV/atom
E_form (uncorrected) ... 2.40 eV/atom
Spin magnetization ... 3.03 Bohr magnetons per cell
Fermi-level density of states ... 10.46 states/eV per cell

***

[3]
Computed, not measured: K2SiRuRh after structural relaxation at the PBE level of DFT.

```
data_K2SiRuRh
_cell_length_a 6.080
_cell_length_b 6.080
_cell_length_c 4.473
_cell_angle_alpha 90.00
_cell_angle_beta 90.00
_cell_angle_gamma 90.00
_symmetry_space_group_name_H-M 'P 4/m m m'
_symmetry_Int_Tables_number 123
_symmetry_space_group_name_Hall '-P 4 2'
loop_
_atom_site_label
_atom_site_fract_x
_atom_site_fract_y
_atom_site_fract_z
K1 0.000 0.500 0.000
Si1 0.000 0.000 0.000
Ru1 0.000 0.000 0.500
Rh1 0.500 0.500 0.500
```

Calculated total energy ... -3.63 eV/atom
E_form (uncorrected) ... 1.22 eV/atom
Spin magnetization ... 2.25 Bohr magnetons per cell
Fermi-level density of states ... 6.80 states/eV per cell

***

[4]
Computed, not measured: KTeRu2Rh after structural relaxation at the PBE level of DFT.

```
data_KTeRu2Rh
_cell_length_a 4.746
_cell_length_b 4.746
_cell_length_c 5.562
_cell_angle_alpha 90.00
_cell_angle_beta 90.00
_cell_angle_gamma 90.00
_symmetry_space_group_name_H-M 'P 4/m m m'
_symmetry_Int_Tables_number 123
_symmetry_space_group_name_Hall '-P 4 2'
loop_
_atom_site_label
_atom_site_fract_x
_atom_site_fract_y
_atom_site_fract_z
K1 0.000 0.000 0.000
Te1 0.500 0.500 0.000
Ru1 0.000 0.500 0.500
Rh1 0.000 0.000 0.500
```

Calculated total energy ... -4.71 eV/atom
E_form (uncorrected) ... 1.32 eV/atom
Spin magnetization ... 2.07 Bohr magnetons per cell
Fermi-level density of states ... 8.68 states/eV per cell

***

[5]
Computed, not measured: KTl2RuRh after structural relaxation at the PBE level of DFT.

```
data_KTl2RuRh
_cell_length_a 5.708
_cell_length_b 5.708
_cell_length_c 4.655
_cell_angle_alpha 90.00
_cell_angle_beta 90.00
_cell_angle_gamma 90.00
_symmetry_space_group_name_H-M 'P 4/m m m'
_symmetry_Int_Tables_number 123
_symmetry_space_group_name_Hall '-P 4 2'
loop_
_atom_site_label
_atom_site_fract_x
_atom_site_fract_y
_atom_site_fract_z
K1 0.000 0.000 0.000
Tl1 0.000 0.500 0.000
Ru1 0.500 0.500 0.500
Rh1 0.000 0.000 0.500
```

Calculated total energy ... -2.53 eV/atom
Spin magnetization ... 2.52 Bohr magnetons per cell
Fermi-level density of states ... 5.02 states/eV per cell

***

[6]
Computed, not measured: KVRu2Rh after structural relaxation at the PBE level of DFT.

```
data_KVRu2Rh
_cell_length_a 4.711
_cell_length_b 4.711
_cell_length_c 5.178
_cell_angle_alpha 90.00
_cell_angle_beta 90.00
_cell_angle_gamma 90.00
_symmetry_space_group_name_H-M 'P 4/m m m'
_symmetry_Int_Tables_number 123
_symmetry_space_group_name_Hall '-P 4 2'
loop_
_atom_site_label
_atom_site_fract_x
_atom_site_fract_y
_atom_site_fract_z
K1 0.000 0.000 0.000
V1 0.500 0.500 0.000
Ru1 0.000 0.500 0.500
Rh1 0.000 0.000 0.500
```

Calculated total energy ... -5.15 eV/atom
Spin magnetization ... 0.50 Bohr magnetons per cell
Fermi-level density of states ... 10.72 states/eV per cell

***

[7]
Computed, not measured: KVRu2Rh after structural relaxation at the PBE level of DFT.

```
data_KVRu2Rh
_cell_length_a 4.513
_cell_length_b 4.513
_cell_length_c 4.544
_cell_angle_alpha 90.00
_cell_angle_beta 90.00
_cell_angle_gamma 90.00
_symmetry_space_group_name_H-M 'P 4/m m m'
_symmetry_Int_Tables_number 123
_symmetry_space_group_name_Hall '-P 4 2'
loop_
_atom_site_label
_atom_site_fract_x
_atom_site_fract_y
_atom_site_fract_z
K1 0.000 0.000 0.000
V1 0.500 0.500 0.500
Ru1 0.000 0.500 0.000
Rh1 0.000 0.000 0.500
```

Calculated total energy ... -4.42 eV/atom
Spin magnetization ... 1.42 Bohr magnetons per cell
Fermi-level density of states ... 10.11 states/eV per cell

***

[8]
Computed, not measured: KRh2S after structural relaxation at the PBE level of DFT.

```
data_KRh2S
_cell_length_a 5.095
_cell_length_b 5.095
_cell_length_c 15.299
_cell_angle_alpha 90.00
_cell_angle_beta 90.00
_cell_angle_gamma 90.00
_symmetry_space_group_name_H-M 'I 41/a m d'
_symmetry_Int_Tables_number 141
loop_
_symmetry_equiv_pos_as_xyz
'x,y,z'
'-x,-y,-z'
'-y+1/4,x+3/4,z+1/4'
'y+1/4,-x+3/4,-z+1/4'
'-x+1/2,-y,z+1/2'
'x+1/2,y,-z+1/2'
'y+1/4,-x+1/4,z+3/4'
'-y+1/4,x+1/4,-z+3/4'
'x,-y,-z'
'-x,y,z'
'-y+1/4,-x+1/4,-z+3/4'
'y+1/4,x+1/4,z+3/4'
'-x+1/2,y,-z+1/2'
'x+1/2,-y,z+1/2'
'y+1/4,x+3/4,-z+1/4'
'-y+1/4,-x+3/4,z+1/4'
'x+1/2,y+1/2,z+1/2'
'-x+1/2,-y+1/2,-z+1/2'
'-y+3/4,x+1/4,z+3/4'
'y+3/4,-x+1/4,-z+3/4'
'-x,-y+1/2,z'
'x,y+1/2,-z'
'y+3/4,-x+3/4,z+1/4'
'-y+3/4,x+3/4,-z+1/4'
'x+1/2,-y+1/2,-z+1/2'
'-x+1/2,y+1/2,z+1/2'
'-y+3/4,-x+3/4,-z+1/4'
'y+3/4,x+3/4,z+1/4'
'-x,y+1/2,-z'
'x,-y+1/2,z'
'y+3/4,x+1/4,-z+3/4'
'-y+3/4,-x+1/4,z+3/4'
loop_
_atom_site_label
_atom_site_fract_x
_atom_site_fract_y
_atom_site_fract_z
K1 0.000 0.250 0.375
Rh1 0.000 0.000 0.000
S1 0.000 0.250 0.875
```

Calculated total energy ... -5.03 eV/atom
E_form (uncorrected) ... -0.05 eV/atom
Spin magnetization ... 2.68 Bohr magnetons per cell
Fermi-level density of states ... 18.33 states/eV per cell

***

Q: calculated total energy of number 8 (KRh2S)?
A: -5.03 eV/atom

***

Q: Which of these has the highest Fermi-level density of states?
A: KRh2S

***

Q: The lowest calculated total energy belongs to which entry?
A: K3RuRh3S8

***

Q: Look up the calculated total energy of the third one.
A: -3.63 eV/atom